# SmMgTlPt, relaxed, DFT PBE
data_SmMgTlPt
_chemical_formula_sum 'Sm1 Mg1 Tl1 Pt1'
_symmetry_space_group_name_H-M 'P 1'
_symmetry_Int_Tables_number 1
_symmetry_space_group_name_Hall 'P 1'
_cell_length_a 5.024
_cell_length_b 5.024
_cell_length_c 5.024
_cell_angle_alpha 60.00
_cell_angle_beta 60.00
_cell_angle_gamma 60.00
loop_
_atom_site_label
_atom_site_fract_x
_atom_site_fract_y
_atom_site_fract_z
Mg1 0.250 0.250 0.250
Sm1 0.750 0.750 0.750
Pt1 0.500 0.500 0.500
Tl1 0.000 0.000 0.000
# Mass density ... 10.63 g/cm3
# VASP energy ... -17.0 eV per formula unit